No. 1
First-principles (PBE-GGA) data for crystalline YSbCl2 at its relaxed geometry, as listed in the Alexandria database.

Calculated values
The calculation puts the relative energy among the computed polymorphs at 0.642 eV per atom. The raw total energy is -4.2507 eV/atom. The raw formation energy comes out at -0.68 eV per atom. The space group is Cmmm. The calculation puts the total magnetization at 0.0 μB/f.u.

Cell and atoms, written as POSCAR:
```
YSbCl2
1.0
5.574 0.005 0.000
-1.900 5.240 0.000
0.000 0.000 3.362
Y Sb Cl
1 1 2
Direct
0.000 0.500 0.500 Y
0.500 0.000 0.500 Sb
0.000 0.000 0.000 Cl
0.500 0.500 0.000 Cl
```

=====

No. 2
First-principles (PBE-GGA) data for crystalline YSbCl2 at its relaxed geometry, as listed in the Alexandria database.

Calculated values
The calculation puts the relative energy among the computed polymorphs at 0.622 eV per atom. The raw total energy is -4.2701 eV/atom. The raw formation energy comes out at -0.70 eV per atom. The space group is Fm-3m. The calculation puts the total magnetization at 0.0 μB/f.u.

Cell and atoms, written as POSCAR:
```
YSbCl2
1.0
5.100 0.000 0.000
2.550 4.417 0.000
2.550 1.472 4.164
Y Sb Cl
1 1 2
Direct
0.500 0.500 0.500 Y
0.000 0.000 0.000 Sb
0.750 0.750 0.750 Cl
0.250 0.250 0.250 Cl
```

=====

No. 3
First-principles (PBE-GGA) data for crystalline YZn2SbCl at its relaxed geometry, as listed in the Alexandria database.

Calculated values
The raw total energy is -2.7203 eV/atom. The raw formation energy comes out at 0.28 eV per atom. The space group is P4/mmm. The calculation puts the total magnetization at 0.8 μB/f.u.

Cell and atoms, written as POSCAR:
```
YZn2SbCl
1.0
5.107 0.000 0.000
0.000 5.511 0.000
0.000 0.000 5.107
Y Sb Zn Cl
1 1 2 1
Direct
0.500 0.500 0.500 Y
0.000 0.000 0.000 Sb
0.000 0.000 0.500 Zn
0.500 0.000 0.000 Zn
0.000 0.500 0.000 Cl
```

=====

No. 4
First-principles (PBE-GGA) data for crystalline ZnSb2Cl at its relaxed geometry, as listed in the Alexandria database.

Calculated values
The calculation puts the relative energy among the computed polymorphs at 0.037 eV per atom. The raw total energy is -3.0357 eV/atom. The raw formation energy comes out at -0.19 eV per atom. The space group is Cmmm. The calculation puts the total magnetization at 0.0 μB/f.u.

Cell and atoms, written as POSCAR:
```
ZnSb2Cl
1.0
4.320 0.000 0.000
0.000 5.326 -0.008
0.000 2.572 4.657
Cl Sb Zn
1 2 1
Direct
0.500 0.750 0.750 Cl
0.000 0.070 0.070 Sb
0.000 0.430 0.430 Sb
0.500 0.250 0.250 Zn
```

=====

No. 5
First-principles (PBE-GGA) data for crystalline ZnSb2Cl at its relaxed geometry, as listed in the Alexandria database.

Calculated values
The calculation puts the relative energy among the computed polymorphs at 0.000 eV per atom. The raw total energy is -3.0722 eV/atom. The raw formation energy comes out at -0.23 eV per atom. The space group is R3m. The calculation puts the total magnetization at 0.0 μB/f.u.

Cell and atoms, written as POSCAR:
```
ZnSb2Cl
1.0
9.032 -0.114 -0.068
8.231 3.721 -0.068
8.231 1.720 3.300
Cl Sb Zn
1 2 1
Direct
0.785 0.785 0.785 Cl
0.976 0.976 0.976 Sb
0.240 0.240 0.240 Sb
0.500 0.500 0.500 Zn
```

=====

No. 6
First-principles (PBE-GGA) data for crystalline ZnSb4Cl at its relaxed geometry, as listed in the Alexandria database.

Calculated values
The raw total energy is -3.0737 eV/atom. The raw formation energy comes out at 0.19 eV per atom. The space group is F-43m. The calculation puts the total magnetization at 0.0 μB/f.u.

Cell and atoms, written as POSCAR:
```
ZnSb4Cl
1.0
-2.005 0.114 5.986
-3.215 4.987 2.158
-6.161 -0.527 1.276
Zn Sb Cl
1 4 1
Direct
0.750 0.750 0.750 Zn
0.904 0.365 0.365 Sb
0.365 0.365 0.904 Sb
0.365 0.904 0.365 Sb
0.365 0.365 0.365 Sb
0.000 0.000 0.000 Cl
```